# 1
## CsRuBrCl2 (PBE)

Data for a relaxed CsRuBrCl2 crystal.

Cell lengths 5.9982, 5.4985, 5.9982 Å; angles 90.00, 90.00, 90.00 degrees
Fractional coordinates of all 5 atoms:
1 Cl 0.0000 0.0000 0.5000
2 Cs 0.0000 0.0000 0.0000
3 Cl 0.5000 0.0000 0.0000
4 Br 0.5000 0.5000 0.5000
5 Ru 0.0000 0.5000 0.0000

Summary:
The calculation puts the volume at 198 Å³ per cell. As for the formation energy (no corrections): 0.90 eV/atom. Its total energy is -2.20 eV per atom. The space group is No. 123.



# 2
## Cs2RuBrCl6 (PBE)

Data for a relaxed Cs2RuBrCl6 crystal.

Cell lengths 8.7959, 7.8466, 8.7980 Å; angles 51.84, 49.28, 51.97 degrees
Fractional coordinates of all 10 atoms:
1 Cl 0.1217 0.0462 0.3706
2 Cl 0.4777 0.1823 0.2614
3 Cl 0.5692 0.0441 0.9058
4 Cl 0.4619 0.5894 0.7975
5 Cl 0.9979 0.5851 0.2458
6 Ru 0.2925 0.3162 0.0752
7 Br 0.0673 0.8153 0.3011
8 Cs 0.9940 0.1477 0.7947
9 Cs 0.5731 0.4855 0.3729
10 Cl 0.1063 0.4499 0.8900

Summary:
The calculation puts the volume at 338 Å³ per cell. As for the formation energy (no corrections): -1.06 eV/atom. Its total energy is -3.43 eV per atom. The space group is No. 1.



# 3
## Cs2SBr2Cl4 (PBE)

Data for a relaxed Cs2SBr2Cl4 crystal.

Cell lengths 7.5233, 7.5233, 7.5233 Å; angles 92.34, 118.66, 118.66 degrees
Fractional coordinates of all 9 atoms:
1 Br 0.0000 0.2426 0.2426
2 Cs 0.5000 0.7500 0.2500
3 Cs 0.5000 0.2500 0.7500
4 S 0.0000 0.0000 0.0000
5 Cl 0.0000 0.7835 0.2165
6 Br 0.0000 0.7574 0.7574
7 Cl 0.5670 0.7835 0.7835
8 Cl 0.0000 0.2165 0.7835
9 Cl 0.4330 0.2165 0.2165

Summary:
The calculation puts the volume at 307 Å³ per cell. As for the formation energy (no corrections): -0.95 eV/atom. Its total energy is -2.79 eV per atom. The space group is No. 139.



# 4
## CsS2BrCl (PBE)

Data for a relaxed CsS2BrCl crystal.

Cell lengths 5.6504, 5.6504, 6.2913 Å; angles 90.00, 90.00, 90.00 degrees
Fractional coordinates of all 5 atoms:
1 Cs 0.0000 0.0000 0.0000
2 S 0.0000 0.5000 0.0000
3 S 0.5000 0.0000 0.0000
4 Br 0.5000 0.5000 0.5000
5 Cl 0.0000 0.0000 0.5000

Summary:
The calculation puts the volume at 201 Å³ per cell. As for the formation energy (no corrections): 0.92 eV/atom. Its total energy is -1.61 eV per atom. The space group is No. 123.



# 5
## CsS2BrCl (PBE)

Data for a relaxed CsS2BrCl crystal.

Cell lengths 4.9175, 4.9175, 6.8116 Å; angles 90.00, 90.00, 90.00 degrees
Fractional coordinates of all 5 atoms:
1 Cs 0.5000 0.5000 0.5000
2 S 0.5000 0.0000 0.0000
3 Cl 0.0000 0.0000 0.5000
4 Br 0.0000 0.0000 0.0000
5 S 0.0000 0.5000 0.0000

Summary:
The calculation puts the volume at 165 Å³ per cell. As for the formation energy (no corrections): -0.03 eV/atom. Its total energy is -2.56 eV per atom. The space group is No. 123.



# 6
## Cs2SbBr4Cl2 (PBE)

Data for a relaxed Cs2SbBr4Cl2 crystal.

Cell lengths 7.8919, 7.8919, 7.8919 Å; angles 87.79, 121.29, 121.29 degrees
Fractional coordinates of all 9 atoms:
1 Br 0.0000 0.2479 0.7521
2 Cs 0.5000 0.2500 0.7500
3 Br 0.5043 0.7521 0.7521
4 Sb 0.0000 0.0000 0.0000
5 Br 0.4957 0.2479 0.2479
6 Cl 0.0000 0.7745 0.7745
7 Br 0.0000 0.7521 0.2479
8 Cs 0.5000 0.7500 0.2500
9 Cl 0.0000 0.2255 0.2255

Summary:
The calculation puts the volume at 341 Å³ per cell. As for the formation energy (no corrections): -1.22 eV/atom. Its total energy is -3.02 eV per atom. The space group is No. 139.



Repeat the first record exactly.
## CsRuBrCl2 (PBE)

Data for a relaxed CsRuBrCl2 crystal.

Cell lengths 5.9982, 5.4985, 5.9982 Å; angles 90.00, 90.00, 90.00 degrees
Fractional coordinates of all 5 atoms:
1 Cl 0.0000 0.0000 0.5000
2 Cs 0.0000 0.0000 0.0000
3 Cl 0.5000 0.0000 0.0000
4 Br 0.5000 0.5000 0.5000
5 Ru 0.0000 0.5000 0.0000

Summary:
The calculation puts the volume at 198 Å³ per cell. As for the formation energy (no corrections): 0.90 eV/atom. Its total energy is -2.20 eV per atom. The space group is No. 123.



Question: Which of these has the lowest total energy?
Answer: Cs2RuBrCl6



Question: Number 6 is which compound?
Answer: Cs2SbBr4Cl2